Entry 1:
CrIrSe: relaxed, PBEsol.

Lattice parameters (Å, degrees): 5.490 5.490 5.490 149.80 149.80 43.24
Fractional coordinates of all 3 atoms:
Cr1 0.000 0.000 0.000
Ir1 0.653 0.653 0.000
Se1 0.352 0.352 0.000

Calculated values
Fermi-level density of states	0.7748	states/eV/atom
volume	13.92	A^3/atom
raw formation energy	0.136	eV per atom

Entry 2:
Y3TiSb: relaxed, PBEsol.

Lattice parameters (Å, degrees): 5.176 5.176 5.176 90.00 90.00 90.00
Fractional coordinates of all 5 atoms:
Y1 0.000 0.000 0.500
Y2 0.000 0.500 0.000
Y3 0.500 0.000 0.000
Ti1 0.000 0.000 0.000
Sb1 0.500 0.500 0.500

Calculated values
Fermi-level density of states	0.8972	states/eV/atom
volume	27.73	A^3/atom
raw formation energy	0.295	eV per atom

Entry 3:
Sr2ErGaCu2O7: relaxed, PBEsol.

Lattice parameters (Å, degrees): 12.014 12.014 12.014 36.82 153.96 154.42
Fractional coordinates of all 26 atoms:
Sr1 0.014 0.150 0.164
Sr2 0.014 0.350 0.364
Sr3 0.986 0.650 0.636
Sr4 0.986 0.850 0.836
Er1 0.002 0.002 0.000
Er2 0.002 0.502 0.500
Ga1 0.390 0.709 0.181
Ga2 0.528 0.209 0.819
Cu1 0.502 0.573 0.070
Cu2 0.502 0.932 0.429
Cu3 0.503 0.073 0.571
Cu4 0.503 0.432 0.930
O1 0.003 0.189 0.692
O2 0.003 0.317 0.811
O3 0.003 0.691 0.186
O4 0.003 0.811 0.314
O5 0.213 0.853 0.860
O6 0.484 0.199 0.635
O7 0.484 0.349 0.785
O8 0.497 0.311 0.308
O9 0.497 0.689 0.686
O10 0.506 0.191 0.189
O11 0.506 0.817 0.814
O12 0.564 0.699 0.215
O13 0.564 0.849 0.365
O14 0.993 0.353 0.140

Calculated values
Fermi-level density of states	0.1242	states/eV/atom
volume	12.62	A^3/atom
raw formation energy	-2.174	eV per atom

Entry 4:
CaTlAg: relaxed, PBEsol.

Lattice parameters (Å, degrees): 5.571 5.571 5.571 139.92 139.92 57.97
Fractional coordinates of all 3 atoms:
Ca1 0.000 0.000 0.000
Tl1 0.318 0.318 0.000
Ag1 0.669 0.669 0.000

Calculated values
Fermi-level density of states	0.3210	states/eV/atom
volume	23.68	A^3/atom
calculated formation energy	-0.268	eV per atom

Entry 5:
Y5Mo: relaxed, PBEsol.

Lattice parameters (Å, degrees): 6.252 6.252 6.252 56.43 56.43 56.43
Fractional coordinates of all 6 atoms:
Y1 0.000 0.628 0.372
Y2 0.156 0.156 0.156
Y3 0.372 0.000 0.628
Y4 0.628 0.372 0.000
Y5 0.844 0.844 0.844
Mo1 0.500 0.500 0.500

Calculated values
Fermi-level density of states	1.4094	states/eV/atom
volume	26.42	A^3/atom
calculated formation energy	0.294	eV per atom

Entry 6:
Ge2Ru2O: relaxed, PBEsol.

Lattice parameters (Å, degrees): 6.376 6.376 6.376 147.87 147.87 46.08
Fractional coordinates of all 5 atoms:
Ge1 0.250 0.750 0.500
Ge2 0.750 0.250 0.500
Ru1 0.107 0.107 0.000
Ru2 0.893 0.893 0.000
O1 0.500 0.500 0.000

Calculated values
Fermi-level density of states	0.7555	states/eV/atom
volume	14.61	A^3/atom
raw formation energy	0.540	eV per atom

Entry 7:
LiIrRh2: relaxed, PBEsol.

Lattice parameters (Å, degrees): 4.653 2.612 4.670 90.00 111.58 90.00
Fractional coordinates of all 4 atoms:
Li1 0.000 0.000 0.000
Ir1 0.000 0.500 0.500
Rh1 0.500 0.000 0.500
Rh2 0.500 0.500 0.000

Calculated values
Fermi-level density of states	1.0568	states/eV/atom
volume	13.19	A^3/atom
offset from the most stable computed form	43	meV/atom
calculated formation energy	-0.040	eV per atom

Entry 8:
LaTl2Pb: relaxed, PBEsol.

Lattice parameters (Å, degrees): 3.447 3.447 10.728 90.00 90.00 113.92
Fractional coordinates of all 4 atoms:
La1 0.000 0.000 0.000
Tl1 0.500 0.500 0.254
Tl2 0.500 0.500 0.746
Pb1 0.000 0.000 0.500

Calculated values
Fermi-level density of states	0.7055	states/eV/atom
volume	29.12	A^3/atom
calculated formation energy	-0.090	eV per atom